Crystalline HfReTc2 at its relaxed geometry. Source: Alexandria via LeMat-Bulk, functional PBE.

Cell lengths 3.1526, 3.1526, 6.4502 Å; angles 90.00, 90.00, 90.00 degrees
With the nearest neighbours (Å) after each atom.
Positions (direct):
Re 0.5000 0.5000 0.5000  8 Tc 2.71
Hf 0.5000 0.5000 0.0000  8 Tc 2.79
Tc 0.0000 0.0000 0.7401  4 Re 2.71, 4 Hf 2.79
Tc 0.0000 0.0000 0.2599  4 Re 2.71, 4 Hf 2.79

Crystal system: tetragonal
Space-group type: P4/mmm (123)
V: 64.1 Å³ per cell
Calculated formation energy: -0.178 eV/atom


Crystalline HfRe2Tc at its relaxed geometry. Source: Alexandria via LeMat-Bulk, functional PBE.

Cell lengths 7.3760, 7.3760, 5.8330 Å; angles 50.78, 50.78, 90.00 degrees
With the nearest neighbours (Å) after each atom.
Positions (direct):
Re 0.5937 0.1250 0.2500  2 Tc 2.54, 2 Re 2.65
Re 0.1563 0.6250 0.2500  2 Tc 2.54, 2 Re 2.65
Re 0.3750 0.4063 0.7500  2 Tc 2.54, 2 Re 2.65
Re 0.8750 0.8437 0.7500  2 Tc 2.54, 2 Re 2.65
Hf 0.0000 0.0000 0.0000  2 Tc 2.61, 4 Re 2.85
Hf 0.7500 0.2500 0.5000  2 Tc 2.61, 4 Re 2.85
Tc 0.5000 0.5000 0.0000  4 Re 2.54, 2 Hf 2.61
Tc 0.2500 0.7500 0.5000  4 Re 2.54, 2 Hf 2.61

Crystal system: tetragonal
Space-group type: I-42d (122)
V: 142.1 Å³ per cell
Relative energy among the computed polymorphs: 0.576 eV per atom
Calculated formation energy: 0.560 eV/atom


Crystalline Hf3ReTc at its relaxed geometry. Source: Alexandria via LeMat-Bulk, functional PBE.

Cell lengths 4.8430, 4.8430, 4.8430 Å; angles 90.00, 90.00, 90.00 degrees
With the nearest neighbours (Å) after each atom.
Positions (direct):
Re 0.5000 0.5000 0.5000  12 Hf 3.42
Hf 0.0000 0.5000 0.0000  2 Tc 2.42
Hf 0.0000 0.0000 0.5000  2 Tc 2.42
Hf 0.5000 0.0000 0.0000  2 Tc 2.42
Tc 0.0000 0.0000 0.0000  6 Hf 2.42

Crystal system: cubic
Space-group type: Pm-3m (221)
V: 113.6 Å³ per cell
Relative energy among the computed polymorphs: 0.000 eV per atom
Calculated formation energy: 1.041 eV/atom


Crystalline HfReTc at its relaxed geometry. Source: Alexandria via LeMat-Bulk, functional PBE.

Cell lengths 5.2545, 5.2545, 5.2545 Å; angles 90.54, 120.38, 119.00 degrees
With the nearest neighbours (Å) after each atom.
Positions (direct):
Hf 0.2500 0.1263 0.8763  6 Re 3.06-3.11, 6 Tc 3.07-3.09, 4 Hf 3.21-3.23
Hf 0.7500 0.8737 0.1237  6 Re 3.06-3.11, 6 Tc 3.07-3.09, 4 Hf 3.21-3.23
Re 0.5000 0.5000 0.5000  2 Re 2.61, 4 Tc 2.63
Re 0.0000 0.5000 0.0000  2 Re 2.61, 4 Tc 2.63
Tc 0.0000 0.5000 0.5000  4 Re 2.63, 2 Tc 2.67
Tc 0.5000 0.0000 0.5000  4 Re 2.63, 2 Tc 2.67

Crystal system: orthorhombic
Space-group type: Imma (74)
V: 103.0 Å³ per cell
Relative energy among the computed polymorphs: 0.037 eV per atom
Calculated formation energy: -0.340 eV/atom


Crystalline HfReTc3 at its relaxed geometry. Source: Alexandria via LeMat-Bulk, functional PBE.

Cell lengths 4.6516, 4.6516, 4.6516 Å; angles 90.00, 90.00, 90.00 degrees
With the nearest neighbours (Å) after each atom.
Positions (direct):
Re 0.0000 0.0000 0.0000  6 Tc 2.33
Hf 0.5000 0.5000 0.5000  12 Tc 3.29
Tc 0.0000 0.5000 0.0000  2 Re 2.33
Tc 0.0000 0.0000 0.5000  2 Re 2.33
Tc 0.5000 0.0000 0.0000  2 Re 2.33

Crystal system: cubic
Space-group type: Pm-3m (221)
V: 100.6 Å³ per cell
Relative energy among the computed polymorphs: 0.000 eV per atom
Calculated formation energy: 1.203 eV/atom


Crystalline HfReTc2 at its relaxed geometry. Source: Alexandria via LeMat-Bulk, functional PBE.

Cell lengths 5.2394, 6.8776, 15.2805 Å; angles 90.00, 90.00, 90.00 degrees
With the nearest neighbours (Å) after each atom.
Positions (direct):
Hf 0.4678 0.2500 0.1492  2 Re 2.74-2.98, 6 Tc 2.91-3.02
Hf 0.9678 0.7500 0.3508  2 Re 2.74-2.98, 6 Tc 2.91-3.02
Hf 0.5322 0.7500 0.8508  2 Re 2.74-2.98, 6 Tc 2.91-3.02
Hf 0.0322 0.2500 0.6492  2 Re 2.74-2.98, 6 Tc 2.91-3.02
Hf 0.7131 0.2500 0.3855  2 Re 2.69-2.82, 4 Tc 2.99
Hf 0.2131 0.7500 0.1145  2 Re 2.69-2.82, 4 Tc 2.99
Hf 0.2869 0.7500 0.6145  2 Re 2.69-2.82, 4 Tc 2.99
Hf 0.7869 0.2500 0.8855  2 Re 2.69-2.82, 4 Tc 2.99
Re 0.2000 0.2500 0.3304  6 Tc 2.52-2.60, 2 Hf 2.69-2.82
Re 0.7000 0.7500 0.1696  6 Tc 2.52-2.60, 2 Hf 2.69-2.82
Re 0.8000 0.7500 0.6696  6 Tc 2.52-2.60, 2 Hf 2.69-2.82
Re 0.3000 0.2500 0.8304  6 Tc 2.52-2.60, 2 Hf 2.69-2.82
Re 0.9927 0.2500 0.0737  6 Tc 2.56-2.61, 1 Hf 2.74
Re 0.4927 0.7500 0.4263  6 Tc 2.56-2.61, 1 Hf 2.74
Re 0.0073 0.7500 0.9263  6 Tc 2.56-2.61, 1 Hf 2.74
Re 0.5073 0.2500 0.5737  6 Tc 2.56-2.61, 1 Hf 2.74
Tc 0.9326 0.0521 0.2177  3 Re 2.52-2.61, 1 Tc 2.72
Tc 0.4326 0.9479 0.2823  3 Re 2.52-2.61, 1 Tc 2.72
Tc 0.0674 0.5521 0.7823  3 Re 2.52-2.61, 1 Tc 2.72
Tc 0.5674 0.4479 0.7177  3 Re 2.52-2.61, 1 Tc 2.72
Tc 0.0674 0.9479 0.7823  3 Re 2.52-2.61, 1 Tc 2.72
Tc 0.5674 0.0521 0.7177  3 Re 2.52-2.61, 1 Tc 2.72
Tc 0.9326 0.4479 0.2177  3 Re 2.52-2.61, 1 Tc 2.72
Tc 0.4326 0.5521 0.2823  3 Re 2.52-2.61, 1 Tc 2.72
Tc 0.7173 0.5413 0.0286  1 Tc 2.50, 3 Re 2.56-2.61
Tc 0.2173 0.4587 0.4714  1 Tc 2.50, 3 Re 2.56-2.61
Tc 0.2827 0.0413 0.9714  1 Tc 2.50, 3 Re 2.56-2.61
Tc 0.7827 0.9587 0.5286  1 Tc 2.50, 3 Re 2.56-2.61
Tc 0.2827 0.4587 0.9714  1 Tc 2.50, 3 Re 2.56-2.61
Tc 0.7827 0.5413 0.5286  1 Tc 2.50, 3 Re 2.56-2.61
Tc 0.7173 0.9587 0.0286  1 Tc 2.50, 3 Re 2.56-2.61
Tc 0.2173 0.0413 0.4714  1 Tc 2.50, 3 Re 2.56-2.61

Crystal system: orthorhombic
Space-group type: Pnma (62)
V: 550.6 Å³ per cell
Calculated formation energy: -0.018 eV/atom


Crystalline HfReTc2 at its relaxed geometry. Source: Alexandria via LeMat-Bulk, functional PBE.

Cell lengths 7.2470, 7.2470, 5.7934 Å; angles 51.28, 51.28, 90.00 degrees
With the nearest neighbours (Å) after each atom.
Positions (direct):
Re 0.0000 0.0000 0.0000  4 Tc 2.49, 2 Hf 2.70
Re 0.7500 0.2500 0.5000  4 Tc 2.49, 2 Hf 2.70
Hf 0.5000 0.5000 0.0000  2 Re 2.70, 4 Tc 2.82
Hf 0.2500 0.7500 0.5000  2 Re 2.70, 4 Tc 2.82
Tc 0.6584 0.1250 0.2500  2 Re 2.49, 2 Tc 2.75
Tc 0.0916 0.6250 0.2500  2 Re 2.49, 2 Tc 2.75
Tc 0.3750 0.3416 0.7500  2 Re 2.49, 2 Tc 2.75
Tc 0.8750 0.9084 0.7500  2 Re 2.49, 2 Tc 2.75

Crystal system: tetragonal
Space-group type: I-42d (122)
V: 141.9 Å³ per cell
Calculated formation energy: 0.490 eV/atom


Crystalline HfRe2Tc at its relaxed geometry. Source: Alexandria via LeMat-Bulk, functional PBE.

Cell lengths 4.4978, 4.4978, 4.4978 Å; angles 60.00, 60.00, 60.00 degrees
With the nearest neighbours (Å) after each atom.
Positions (direct):
Re 0.2500 0.2500 0.2500  4 Hf 2.75, 4 Tc 2.75
Re 0.7500 0.7500 0.7500  4 Hf 2.75, 4 Tc 2.75
Hf 0.5000 0.5000 0.5000  8 Re 2.75
Tc 0.0000 0.0000 0.0000  8 Re 2.75

Crystal system: cubic
Space-group type: Fm-3m (225)
V: 64.3 Å³ per cell
Relative energy among the computed polymorphs: 0.000 eV per atom
Calculated formation energy: -0.017 eV/atom


Crystalline HfReTc2 at its relaxed geometry. Source: Alexandria via LeMat-Bulk, functional PBE.

Cell lengths 3.1549, 4.4946, 4.4946 Å; angles 90.00, 90.00, 90.00 degrees
With the nearest neighbours (Å) after each atom.
Positions (direct):
Re 0.5000 0.0000 0.0000  8 Tc 2.75
Hf 0.5000 0.5000 0.5000  8 Tc 2.75
Tc 0.0000 0.0000 0.5000  4 Hf 2.75, 4 Re 2.75
Tc 0.0000 0.5000 0.0000  4 Hf 2.75, 4 Re 2.75

Crystal system: tetragonal
Space-group type: P4/mmm (123)
V: 63.7 Å³ per cell
Calculated formation energy: -0.201 eV/atom


Crystalline Hf3ReTc at its relaxed geometry. Source: Alexandria via LeMat-Bulk, functional PBE.

Cell lengths 4.9513, 4.9513, 4.9513 Å; angles 90.00, 90.00, 90.00 degrees
With the nearest neighbours (Å) after each atom.
Positions (direct):
Re 0.0000 0.0000 0.0000  6 Hf 2.48
Hf 0.0000 0.5000 0.0000  2 Re 2.48
Hf 0.0000 0.0000 0.5000  2 Re 2.48
Hf 0.5000 0.0000 0.0000  2 Re 2.48
Tc 0.5000 0.5000 0.5000  12 Hf 3.50

Crystal system: cubic
Space-group type: Pm-3m (221)
V: 121.4 Å³ per cell
Relative energy among the computed polymorphs: 0.002 eV per atom
Calculated formation energy: 1.043 eV/atom


Crystalline Hf4ReTc3 at its relaxed geometry. Source: Alexandria via LeMat-Bulk, functional PBE.

Cell lengths 3.2655, 3.2655, 13.0685 Å; angles 90.00, 90.00, 90.00 degrees
With the nearest neighbours (Å) after each atom.
Positions (direct):
Re 0.5000 0.5000 0.0000  8 Hf 2.84
Hf 0.0000 0.0000 0.8741  4 Tc 2.83, 4 Re 2.84
Hf 0.0000 0.0000 0.1259  4 Tc 2.83, 4 Re 2.84
Hf 0.0000 0.0000 0.3754  8 Tc 2.83
Hf 0.0000 0.0000 0.6246  8 Tc 2.83
Tc 0.5000 0.5000 0.2506  8 Hf 2.83
Tc 0.5000 0.5000 0.5000  8 Hf 2.83
Tc 0.5000 0.5000 0.7494  8 Hf 2.83

Crystal system: tetragonal
Space-group type: P4/mmm (123)
V: 139.4 Å³ per cell
Calculated formation energy: -0.434 eV/atom


Crystalline Hf4Re2Tc at its relaxed geometry. Source: Alexandria via LeMat-Bulk, functional PBE.

Cell lengths 5.6210, 5.6210, 5.6210 Å; angles 110.07, 109.17, 109.17 degrees
With the nearest neighbours (Å) after each atom.
Positions (direct):
Hf 0.5000 0.0000 0.0000  4 Re 2.81, 2 Tc 2.81
Hf 0.5000 0.5000 0.5000  4 Re 2.81, 2 Tc 2.81
Hf 0.0000 0.0000 0.5000  2 Tc 2.81, 4 Re 2.81
Hf 0.0000 0.5000 0.0000  4 Re 2.81, 2 Tc 2.81
Re 0.5000 0.5000 0.0000  8 Hf 2.81
Re 0.5000 0.0000 0.5000  8 Hf 2.81
Tc 0.0000 0.0000 0.0000  8 Hf 2.81

Crystal system: tetragonal
Space-group type: I4/mmm (139)
V: 136.7 Å³ per cell
Calculated formation energy: -0.167 eV/atom


Crystalline HfReTc at its relaxed geometry. Source: Alexandria via LeMat-Bulk, functional PBE.

Cell lengths 5.2719, 5.2719, 8.5898 Å; angles 90.00, 90.00, 120.39 degrees
With the nearest neighbours (Å) after each atom.
Positions (direct):
Hf 0.6658 0.3343 0.6859  5 Tc 3.06-3.08, 7 Re 3.07-3.10, 4 Hf 3.19-3.23
Hf 0.3342 0.6658 0.8127  5 Re 3.06-3.12, 7 Tc 3.07-3.09, 4 Hf 3.22-3.23
Hf 0.3342 0.6658 0.1873  5 Re 3.06-3.12, 7 Tc 3.07-3.09, 4 Hf 3.22-3.23
Hf 0.6658 0.3343 0.3141  5 Tc 3.06-3.08, 7 Re 3.07-3.10, 4 Hf 3.19-3.23
Re 0.9984 0.0016 0.7526  4 Tc 2.64-2.69, 2 Re 2.67
Re 0.9984 0.0016 0.2474  4 Tc 2.64-2.69, 2 Re 2.67
Re 0.1714 0.3424 0.5000  4 Re 2.55-2.69, 2 Tc 2.55-2.72
Re 0.6576 0.8286 0.5000  4 Re 2.55-2.69, 2 Tc 2.55-2.72
Tc 0.1727 0.8273 0.5000  6 Re 2.55-2.72
Tc 0.8279 0.6536 0.0000  4 Tc 2.52-2.74, 2 Re 2.65
Tc 0.3465 0.1721 0.0000  4 Tc 2.52-2.74, 2 Re 2.65
Tc 0.8273 0.1727 0.0000  4 Tc 2.53-2.74, 2 Re 2.64

Crystal system: orthorhombic
Space-group type: Amm2 (38)
V: 205.9 Å³ per cell
Relative energy among the computed polymorphs: 0.000 eV per atom
Calculated formation energy: -0.377 eV/atom